No. 1
A relaxed HfCrGePt2 crystal, computed with PBE-GGA.

## Properties
**Space group**: P4/mmm
**Spin magnetization**: 0.00 μB per formula unit

Unit cell a=4.644 b=4.644 c=4.417 alpha=90.00 beta=90.00 gamma=90.00
Atoms (fractional coordinates):
Hf 0.000 0.000 0.000
Cr 0.500 0.500 0.500
Ge 0.500 0.500 0.000
Pt 0.000 0.500 0.500
Pt 0.500 0.000 0.500

No. 2
A relaxed HfCrRe2Ge crystal, computed with PBE-GGA.

## Properties
**Space group**: P4/mmm
**Spin magnetization**: 1.66 μB per formula unit

Unit cell a=4.855 b=4.855 c=4.974 alpha=90.00 beta=90.00 gamma=90.00
Atoms (fractional coordinates):
Hf 0.000 0.000 0.000
Cr 0.500 0.500 0.500
Re 0.000 0.500 0.000
Re 0.500 0.000 0.000
Ge 0.000 0.000 0.500

No. 3
A relaxed HfCrGeRh2 crystal, computed with PBE-GGA.

## Properties
**Space group**: P4/mmm
**Spin magnetization**: 0.21 μB per formula unit

Unit cell a=4.702 b=4.702 c=5.041 alpha=90.00 beta=90.00 gamma=90.00
Atoms (fractional coordinates):
Hf 0.000 0.000 0.000
Cr 0.500 0.500 0.500
Ge 0.000 0.000 0.500
Rh 0.000 0.500 0.000
Rh 0.500 0.000 0.000

No. 4
A relaxed HfCr2GeS6 crystal, computed with PBE-GGA.

## Properties
**Space group**: R3
**Uncorrected formation energy**: -0.771 eV per atom
**Spin magnetization**: 6.00 μB per formula unit

Unit cell a=6.689 b=6.689 c=6.689 alpha=55.95 beta=55.95 gamma=55.95
Atoms (fractional coordinates):
Hf 0.000 0.000 0.000
Cr 0.308 0.308 0.308
Cr 0.809 0.809 0.809
Ge 0.503 0.503 0.503
S 0.078 0.421 0.700
S 0.188 0.933 0.579
S 0.421 0.700 0.078
S 0.579 0.188 0.933
S 0.700 0.078 0.421
S 0.933 0.579 0.188

No. 5
A relaxed HfTlCrGe2 crystal, computed with PBE-GGA.

## Properties
**Space group**: P4/mmm
**Spin magnetization**: 3.45 μB per formula unit

Unit cell a=5.202 b=5.202 c=5.116 alpha=90.00 beta=90.00 gamma=90.00
Atoms (fractional coordinates):
Hf 0.000 0.000 0.000
Tl 0.500 0.500 0.500
Cr 0.000 0.000 0.500
Ge 0.000 0.500 0.000
Ge 0.500 0.000 0.000

No. 6
A relaxed HfZr2CrGe crystal, computed with PBE-GGA.

## Properties
**Space group**: P4/mmm
**Spin magnetization**: 0.00 μB per formula unit

Unit cell a=4.778 b=4.778 c=4.653 alpha=90.00 beta=90.00 gamma=90.00
Atoms (fractional coordinates):
Hf 0.000 0.000 0.000
Zr 0.000 0.500 0.500
Zr 0.500 0.000 0.500
Cr 0.500 0.500 0.500
Ge 0.500 0.500 0.000

No. 7
A relaxed Cr3HgGe crystal, computed with PBE-GGA.

## Properties
**Excess energy over the best structure of this formula in the dataset**: 0.616 eV per atom
**Space group**: Pm-3m
**Spin magnetization**: 12.96 μB per formula unit

Unit cell a=5.087 b=5.087 c=5.087 alpha=90.00 beta=90.00 gamma=90.00
Atoms (fractional coordinates):
Cr 0.000 0.000 0.500
Cr 0.000 0.500 0.000
Cr 0.500 0.000 0.000
Hg 0.000 0.000 0.000
Ge 0.500 0.500 0.500

No. 8
A relaxed Cr2HgGe crystal, computed with PBE-GGA.

## Properties
**Space group**: I-42d
**Spin magnetization**: 7.73 μB per formula unit

Unit cell a=4.209 b=4.209 c=18.088 alpha=90.00 beta=90.00 gamma=90.00
Atoms (fractional coordinates):
Cr 0.226 0.250 0.125
Cr 0.250 0.726 0.375
Cr 0.250 0.774 0.875
Cr 0.274 0.250 0.625
Cr 0.726 0.750 0.625
Cr 0.750 0.226 0.875
Cr 0.750 0.274 0.375
Cr 0.774 0.750 0.125
Hg 0.000 0.000 0.500
Hg 0.000 0.500 0.750
Hg 0.500 0.000 0.250
Hg 0.500 0.500 0.000
Ge 0.000 0.000 0.000
Ge 0.000 0.500 0.250
Ge 0.500 0.000 0.750
Ge 0.500 0.500 0.500

No. 9
A relaxed CrHg3Ge crystal, computed with PBE-GGA.

## Properties
**Excess energy over the best structure of this formula in the dataset**: 0.239 eV per atom
**Space group**: Pm-3m
**Spin magnetization**: 0.00 μB per formula unit

Unit cell a=5.073 b=5.073 c=5.073 alpha=90.00 beta=90.00 gamma=90.00
Atoms (fractional coordinates):
Cr 0.000 0.000 0.000
Hg 0.000 0.000 0.500
Hg 0.000 0.500 0.000
Hg 0.500 0.000 0.000
Ge 0.500 0.500 0.500

No. 10
A relaxed CrHg3Ge crystal, computed with PBE-GGA.

## Properties
**Excess energy over the best structure of this formula in the dataset**: 0.000 eV per atom
**Space group**: Pm-3m
**Spin magnetization**: 5.20 μB per formula unit

Unit cell a=5.308 b=5.308 c=5.308 alpha=90.00 beta=90.00 gamma=90.00
Atoms (fractional coordinates):
Cr 0.000 0.000 0.000
Hg 0.000 0.500 0.500
Hg 0.500 0.000 0.500
Hg 0.500 0.500 0.000
Ge 0.500 0.500 0.500

No. 11
A relaxed CrHg2Ge crystal, computed with PBE-GGA.

## Properties
**Space group**: I-42d
**Spin magnetization**: 3.21 μB per formula unit

Unit cell a=8.941 b=8.941 c=4.936 alpha=90.00 beta=90.00 gamma=90.00
Atoms (fractional coordinates):
Cr 0.000 0.000 0.000
Cr 0.000 0.500 0.250
Cr 0.500 0.000 0.750
Cr 0.500 0.500 0.500
Hg 0.161 0.250 0.125
Hg 0.250 0.661 0.375
Hg 0.250 0.839 0.875
Hg 0.339 0.250 0.625
Hg 0.661 0.750 0.625
Hg 0.750 0.161 0.875
Hg 0.750 0.339 0.375
Hg 0.839 0.750 0.125
Ge 0.000 0.000 0.500
Ge 0.000 0.500 0.750
Ge 0.500 0.000 0.250
Ge 0.500 0.500 0.000

No. 12
A relaxed Cr3HgGe crystal, computed with PBE-GGA.

## Properties
**Excess energy over the best structure of this formula in the dataset**: 0.000 eV per atom
**Space group**: Pm-3m
**Spin magnetization**: 10.85 μB per formula unit

Unit cell a=4.720 b=4.720 c=4.720 alpha=90.00 beta=90.00 gamma=90.00
Atoms (fractional coordinates):
Cr 0.000 0.000 0.500
Cr 0.000 0.500 0.000
Cr 0.500 0.000 0.000
Hg 0.500 0.500 0.500
Ge 0.000 0.000 0.000

no.,raw total energy (eV per atom)
1,-6.88
2,-7.72
3,-6.39
4,-6.63
5,-5.48
6,-7.83
7,-5.22
8,-5.27
9,-2.06
10,-2.30
11,-3.19
12,-5.83